(1)
6
Lattice="8.2113 -1.7806 0.0000 8.2113 1.7806 0.0000 -0.4899 0.0000 5.3018" Properties=species:S:1:pos:R:3 comment="TbNpIn PBE-GGA relaxed" spacegroup=C2/m final_energy_ev_per_atom=-6.850 pbc="T T T"
Tb 1.3577 0.0000 1.6994
Tb 14.5750 0.0000 3.6024
Np 3.5767 0.0000 4.4763
Np 12.3560 0.0000 0.8255
In 6.8688 0.0000 0.9364
In 9.0639 0.0000 4.3654

(2)
10
Lattice="3.4284 0.0000 0.0000 0.0000 3.4284 0.0000 0.0000 0.0000 22.1051" Properties=species:S:1:pos:R:3 comment="CeTm4In5 PBE-GGA relaxed" spacegroup=P4/mmm final_energy_ev_per_atom=-4.164 pbc="T T T"
Ce 0.0000 0.0000 0.0000
Tm 0.0000 0.0000 4.5467
Tm 0.0000 0.0000 8.8801
Tm 0.0000 0.0000 13.2249
Tm 0.0000 0.0000 17.5584
In 1.7142 1.7142 2.3424
In 1.7142 1.7142 6.7049
In 1.7142 1.7142 11.0525
In 1.7142 1.7142 15.4002
In 1.7142 1.7142 19.7627

(3)
12
Lattice="3.0835 -5.3348 0.0000 3.0835 5.3348 0.0000 -2.0453 0.0000 11.5603" Properties=species:S:1:pos:R:3 comment="Nd3Y6Ho2Zr PBE-GGA relaxed" spacegroup=C2/m final_energy_ev_per_atom=-5.851 pbc="T T T"
Nd 0.0000 0.0000 0.0000
Nd 3.0835 1.7728 0.0000
Nd 3.0835 -1.7728 0.0000
Y 1.0536 1.7429 2.9910
Y 0.0484 0.0000 8.5661
Y 1.0536 -1.7429 2.9910
Y 3.0681 1.7429 8.5693
Y 4.0733 0.0000 2.9942
Y 3.0681 -1.7429 8.5693
Ho 2.0609 3.5556 5.7801
Ho 2.0609 -3.5556 5.7801
Zr 2.0609 0.0000 5.7801

(4)
14
Lattice="7.5299 0.0000 0.0000 0.0000 7.5299 0.0000 0.0000 0.0000 7.5299" Properties=species:S:1:pos:R:3 comment="AcSn3Au3 PBE-GGA relaxed" relative_energy_ev_per_atom=0.262 spacegroup=Pm-3n final_energy_ev_per_atom=-3.880 pbc="T T T"
Ac 0.0000 0.0000 0.0000
Ac 3.7649 3.7649 3.7649
Sn 0.0000 1.8825 3.7649
Sn 0.0000 5.6474 3.7649
Sn 1.8825 3.7649 0.0000
Sn 3.7649 0.0000 1.8825
Sn 3.7649 0.0000 5.6474
Sn 5.6474 3.7649 0.0000
Au 0.0000 3.7649 1.8825
Au 0.0000 3.7649 5.6474
Au 1.8825 0.0000 3.7649
Au 3.7649 1.8825 0.0000
Au 3.7649 5.6474 0.0000
Au 5.6474 0.0000 3.7649

(5)
5
Lattice="3.5731 0.0000 0.0000 0.0000 3.5731 0.0000 0.0000 0.0000 3.5621" Properties=species:S:1:pos:R:3 comment="MgSiNO2 PBE-GGA relaxed" raw_formation_energy_ev_per_fu=-7.0 spacegroup=P4/mmm final_energy_ev_per_atom=-6.459 pbc="T T T"
Mg 0.0000 0.0000 0.0000
Si 1.7865 1.7865 1.7810
N 1.7865 1.7865 0.0000
O 0.0000 1.7865 1.7810
O 1.7865 0.0000 1.7810

(6)
4
Lattice="3.1956 0.0000 0.0000 0.0000 3.8070 0.0000 0.0000 0.0000 6.4265" Properties=species:S:1:pos:R:3 comment="ZrTaBr2 PBE-GGA relaxed" relative_energy_ev_per_atom=1.045 raw_formation_energy_ev_per_fu=2.0 spacegroup=Pmmm final_energy_ev_per_atom=-5.441 pbc="T T T"
Zr 0.0000 0.0000 0.0000
Ta 0.0000 0.0000 3.2132
Br 1.5978 1.9035 1.6102
Br 1.5978 1.9035 4.8163

Number 1: magnetization 3.86 μB per cell, volume 25.84 Å³ per atom. Number 2: magnetization 1.00 μB per cell, volume 25.98 Å³ per atom. Number 3: magnetization 0.00 μB per cell, volume 31.69 Å³ per atom. Number 4: magnetization 0.00 μB per cell, volume 30.50 Å³ per atom. Number 5: magnetization 0.00 μB per cell, volume 9.10 Å³ per atom. Number 6: magnetization 0.00 μB per cell, volume 19.55 Å³ per atom.